KMn6As7O24 | PBE with a Hubbard U | optimized geometry

abc: 28.130 5.611 6.911
angles: 72.61 90.00 90.00
Last column: magnetic moment on the atom in μB.
Sites, in units of the cell vectors:
K  0.250  0.196  0.419  0.00
K  0.750  0.804  0.581  0.00
Mn  0.043  0.683  0.321  4.66
Mn  0.543  0.317  0.679  4.66
Mn  0.957  0.317  0.679  4.66
Mn  0.457  0.683  0.321  4.66
Mn  0.099  0.283  0.102  4.66
Mn  0.599  0.717  0.898  4.66
Mn  0.901  0.717  0.898  4.66
Mn  0.401  0.283  0.102  4.66
Mn  0.185  0.605  0.756  4.65
Mn  0.685  0.395  0.244  4.65
Mn  0.815  0.395  0.244  4.65
Mn  0.315  0.605  0.756  4.65
As  0.023  0.773  0.803  0.03
As  0.523  0.227  0.197  0.03
As  0.977  0.227  0.197  0.03
As  0.477  0.773  0.803  0.03
As  0.250  0.026  0.945  0.02
As  0.750  0.974  0.055  0.02
As  0.164  0.722  0.234  0.03
As  0.664  0.278  0.766  0.03
As  0.836  0.278  0.766  0.03
As  0.336  0.722  0.234  0.03
As  0.113  0.182  0.627  0.03
As  0.613  0.818  0.373  0.03
As  0.887  0.818  0.373  0.03
As  0.387  0.182  0.627  0.03
O  0.201  0.995  0.109  0.01
O  0.701  0.005  0.891  0.01
O  0.799  0.005  0.891  0.01
O  0.299  0.995  0.109  0.01
O  0.157  0.976  0.629  0.02
O  0.657  0.024  0.371  0.02
O  0.843  0.024  0.371  0.02
O  0.343  0.976  0.629  0.02
O  0.020  0.607  0.632  0.03
O  0.520  0.393  0.368  0.03
O  0.980  0.393  0.368  0.03
O  0.480  0.607  0.632  0.03
O  0.971  0.918  0.827  0.03
O  0.471  0.082  0.173  0.03
O  0.029  0.082  0.173  0.03
O  0.529  0.918  0.827  0.03
O  0.056  0.050  0.696  0.01
O  0.556  0.950  0.304  0.01
O  0.944  0.950  0.304  0.01
O  0.444  0.050  0.696  0.01
O  0.250  0.813  0.814  0.02
O  0.750  0.187  0.186  0.02
O  0.048  0.608  0.027  0.03
O  0.548  0.392  0.973  0.03
O  0.952  0.392  0.973  0.03
O  0.452  0.608  0.027  0.03
O  0.113  0.889  0.241  0.03
O  0.613  0.111  0.759  0.03
O  0.887  0.111  0.759  0.03
O  0.387  0.889  0.241  0.03
O  0.099  0.379  0.391  0.03
O  0.599  0.621  0.609  0.03
O  0.901  0.621  0.609  0.03
O  0.401  0.379  0.391  0.03
O  0.163  0.545  0.071  0.03
O  0.663  0.455  0.929  0.03
O  0.837  0.455  0.929  0.03
O  0.337  0.545  0.071  0.03
O  0.250  0.331  0.806  0.02
O  0.750  0.669  0.194  0.02
O  0.194  0.586  0.451  0.02
O  0.694  0.414  0.549  0.02
O  0.806  0.414  0.549  0.02
O  0.306  0.586  0.451  0.02
O  0.124  0.347  0.796  0.03
O  0.624  0.653  0.204  0.03
O  0.876  0.653  0.204  0.03
O  0.376  0.347  0.796  0.03

Results
Symmetry   P2_1/m, No. 11
Raw total energy   -6.674 eV/atom
Size of the total moment   60.00 μB per cell
Theoretical density   4.1 g/cm³